# 1
{"formula": "TeAs2RhN", "functional": "PBE", "state": "relaxed", "spacegroup": "P4/mmm (123)", "e_tot_ev_per_atom": -4.11, "raw_formation_energy_mev_per_atom": 1512, "cell": [[-0.412, -5.160, 0.929], [3.799, -0.205, 0.549], [-0.687, 0.977, 5.122]], "species": ["N", "As", "As", "Rh", "Te"], "fractional_positions": [[0.000, 0.500, 0.000], [0.000, 0.000, 0.500], [0.500, 0.000, 0.000], [0.500, 0.500, 0.500], [0.000, 0.000, 0.000]]}



# 2
{"formula": "V4Co2C", "functional": "PBE", "state": "relaxed", "spacegroup": "Fd-3m (227)", "e_tot_ev_per_atom": -8.86, "formation_energy_mev_per_atom": -302, "cell": [[6.661, 0.000, 3.846], [2.220, 6.280, 3.846], [0.000, 0.000, 7.691]], "species": ["Co", "Co", "Co", "Co", "Co", "Co", "Co", "Co", "V", "V", "V", "V", "V", "V", "V", "V", "V", "V", "V", "V", "V", "V", "V", "V", "C", "C", "C", "C"], "fractional_positions": [[0.752, 0.416, 0.416], [0.834, 0.498, 0.834], [0.834, 0.834, 0.834], [0.416, 0.752, 0.416], [0.834, 0.834, 0.498], [0.416, 0.416, 0.416], [0.416, 0.416, 0.752], [0.498, 0.834, 0.834], [0.435, 0.435, 0.065], [0.435, 0.065, 0.435], [0.815, 0.185, 0.815], [0.625, 0.125, 0.625], [0.185, 0.815, 0.815], [0.125, 0.625, 0.625], [0.065, 0.435, 0.435], [0.625, 0.625, 0.125], [0.815, 0.815, 0.185], [0.625, 0.625, 0.625], [0.185, 0.815, 0.185], [0.815, 0.185, 0.185], [0.065, 0.065, 0.435], [0.185, 0.185, 0.815], [0.065, 0.435, 0.065], [0.435, 0.065, 0.065], [0.125, 0.625, 0.125], [0.125, 0.125, 0.125], [0.625, 0.125, 0.125], [0.125, 0.125, 0.625]]}



# 3
{"formula": "PrZn2HgPd5", "functional": "PBE", "state": "relaxed", "spacegroup": "P4/mmm (123)", "e_tot_ev_per_atom": -4.12, "formation_energy_mev_per_atom": -384, "cell": [[-3.925, 0.887, 1.186], [-1.433, -1.424, -3.676], [-0.846, -8.666, 3.686]], "species": ["Zn", "Zn", "Pd", "Pd", "Pd", "Pd", "Pd", "Hg", "Pr"], "fractional_positions": [[0.500, 0.500, 0.128], [0.500, 0.500, 0.872], [0.000, 0.500, 0.275], [0.500, 0.000, 0.275], [0.500, 0.000, 0.725], [0.000, 0.500, 0.725], [0.500, 0.500, 0.500], [0.000, 0.000, 0.000], [0.000, 0.000, 0.500]]}



# 4
{"formula": "LiSm3Tm2Se6", "functional": "PBE", "state": "relaxed", "spacegroup": "C2/m (12)", "e_tot_ev_per_atom": -5.58, "raw_formation_energy_mev_per_atom": -1752, "cell": [[7.028, -0.008, -0.003], [-3.519, 6.083, -0.003], [-1.174, -2.032, 6.752]], "species": ["Tm", "Tm", "Se", "Se", "Se", "Se", "Se", "Se", "Sm", "Sm", "Sm", "Li"], "fractional_positions": [[0.665, 0.335, 0.000], [0.335, 0.665, 0.000], [0.077, 0.405, 0.233], [0.751, 0.751, 0.231], [0.595, 0.923, 0.767], [0.405, 0.077, 0.233], [0.923, 0.595, 0.767], [0.249, 0.249, 0.769], [0.166, 0.834, 0.500], [0.500, 0.500, 0.500], [0.834, 0.166, 0.500], [0.000, 0.000, 0.000]]}



# 5
{"formula": "Ce5BiSe4", "functional": "PBE", "state": "relaxed", "spacegroup": "Immm (71)", "e_tot_ev_per_atom": -6.33, "raw_formation_energy_mev_per_atom": -1577, "cell": [[4.205, 0.000, -0.811], [-0.314, 5.859, -1.626], [0.008, -0.015, 11.342]], "species": ["Ce", "Ce", "Ce", "Ce", "Ce", "Se", "Se", "Se", "Se", "Bi"], "fractional_positions": [[0.390, 0.890, 0.781], [0.610, 0.110, 0.219], [0.000, 0.500, 0.000], [0.198, 0.698, 0.397], [0.802, 0.302, 0.603], [0.205, 0.205, 0.409], [0.795, 0.795, 0.591], [0.400, 0.400, 0.800], [0.600, 0.600, 0.200], [0.000, 0.000, 0.000]]}



# 6
{"formula": "Sc2Be2Co5Sn", "functional": "PBE", "state": "relaxed", "spacegroup": "P4/mbm (127)", "e_tot_ev_per_atom": -6.30, "formation_energy_mev_per_atom": -332, "cell": [[3.171, 0.000, 0.000], [0.000, 8.933, 0.000], [0.000, 0.000, 8.933]], "species": ["Sc", "Sc", "Sc", "Sc", "Co", "Co", "Co", "Co", "Co", "Co", "Co", "Co", "Co", "Co", "Be", "Be", "Be", "Be", "Sn", "Sn"], "fractional_positions": [[0.000, 0.322, 0.822], [0.000, 0.822, 0.678], [0.000, 0.178, 0.322], [0.000, 0.678, 0.178], [0.500, 0.724, 0.432], [0.500, 0.000, 0.500], [0.500, 0.932, 0.224], [0.500, 0.500, 0.000], [0.500, 0.276, 0.568], [0.500, 0.068, 0.776], [0.500, 0.776, 0.932], [0.500, 0.432, 0.276], [0.500, 0.224, 0.068], [0.500, 0.568, 0.724], [0.000, 0.884, 0.384], [0.000, 0.116, 0.616], [0.000, 0.616, 0.884], [0.000, 0.384, 0.116], [0.000, 0.000, 0.000], [0.000, 0.500, 0.500]]}



# 7
{"formula": "KHf2Se4", "functional": "PBE", "state": "relaxed", "spacegroup": "Cmcm (63)", "e_tot_ev_per_atom": -6.25, "raw_formation_energy_mev_per_atom": -1256, "cell": [[-1.779, -3.283, 1.293], [5.291, -1.969, -3.761], [7.911, 0.079, 11.090]], "species": ["K", "K", "Se", "Se", "Se", "Se", "Se", "Se", "Se", "Se", "Hf", "Hf", "Hf", "Hf"], "fractional_positions": [[0.610, 0.221, 0.750], [0.390, 0.779, 0.250], [0.234, 0.467, 0.608], [0.080, 0.160, 0.250], [0.920, 0.840, 0.750], [0.766, 0.533, 0.392], [0.234, 0.467, 0.892], [0.500, 0.000, 0.500], [0.500, 0.000, 0.000], [0.766, 0.533, 0.108], [0.870, 0.740, 0.936], [0.130, 0.260, 0.064], [0.130, 0.260, 0.436], [0.870, 0.740, 0.564]]}



# 8
{"formula": "ScBeCd", "functional": "PBE", "state": "relaxed", "spacegroup": "Pmma (51)", "e_tot_ev_per_atom": -3.79, "formation_energy_mev_per_atom": -133, "cell": [[-1.385, 2.354, -2.308], [-5.402, -4.470, -1.318], [-6.469, 5.131, 9.114]], "species": ["Cd", "Cd", "Cd", "Cd", "Cd", "Cd", "Be", "Be", "Be", "Be", "Be", "Be", "Sc", "Sc", "Sc", "Sc", "Sc", "Sc"], "fractional_positions": [[0.500, 0.576, 0.882], [0.500, 0.815, 0.250], [0.500, 0.185, 0.750], [0.500, 0.576, 0.618], [0.500, 0.424, 0.118], [0.500, 0.424, 0.382], [0.500, 0.051, 0.415], [0.000, 0.442, 0.750], [0.500, 0.949, 0.915], [0.500, 0.949, 0.585], [0.500, 0.051, 0.085], [0.000, 0.558, 0.250], [0.000, 0.223, 0.956], [0.000, 0.853, 0.750], [0.000, 0.777, 0.456], [0.000, 0.777, 0.044], [0.000, 0.147, 0.250], [0.000, 0.223, 0.544]]}



# 9
{"formula": "CuBrO2", "functional": "PBE", "state": "relaxed", "spacegroup": "I-42d (122)", "e_tot_ev_per_atom": -3.60, "raw_formation_energy_mev_per_atom": 317, "cell": [[5.314, 0.000, 0.000], [0.000, 5.314, 0.000], [2.657, 2.657, 4.256]], "species": ["O", "O", "O", "O", "Br", "Br", "Cu", "Cu"], "fractional_positions": [[0.875, 0.774, 0.750], [0.524, 0.125, 0.250], [0.375, 0.476, 0.750], [0.226, 0.625, 0.250], [0.750, 0.250, 0.500], [0.000, 0.000, 0.000], [0.250, 0.750, 0.500], [0.500, 0.500, 0.000]]}



# 10
{"formula": "Ac5PuGe4", "functional": "PBE", "state": "relaxed", "spacegroup": "C2/m (12)", "e_tot_ev_per_atom": -5.73, "formation_energy_mev_per_atom": -391, "cell": [[4.496, 0.000, 0.000], [0.000, 8.632, -0.665], [-2.248, -1.923, 9.616]], "species": ["Ac", "Ac", "Ac", "Ac", "Ac", "Ge", "Ge", "Ge", "Ge", "Pu"], "fractional_positions": [[0.834, 0.155, 0.668], [0.836, 0.656, 0.671], [0.166, 0.845, 0.332], [0.500, 0.500, 0.000], [0.164, 0.344, 0.329], [0.335, 0.900, 0.671], [0.001, 0.235, 0.002], [0.999, 0.765, 0.998], [0.665, 0.100, 0.329], [0.500, 0.000, 0.000]]}



# 11
{"formula": "SnGeAsHIr", "functional": "PBE", "state": "relaxed", "spacegroup": "P1 (1)", "e_tot_ev_per_atom": -5.05, "cell": [[3.018, 0.009, 0.449], [-1.498, 5.165, -0.487], [0.714, -2.279, 5.642]], "species": ["Ir", "H", "Sn", "As", "Ge"], "fractional_positions": [[0.495, 0.370, 0.487], [0.908, 0.305, 0.597], [0.210, 0.861, 0.555], [0.381, 0.623, 0.962], [0.109, 0.196, 0.090]]}



# 12
{"formula": "PPb6Se3Cl2", "functional": "PBE", "state": "relaxed", "spacegroup": "C2/m (12)", "e_tot_ev_per_atom": -4.00, "raw_formation_energy_mev_per_atom": -514, "cell": [[7.655, 0.013, 0.003], [-3.814, 6.637, 0.003], [-1.277, -2.211, 7.063]], "species": ["Se", "Se", "Se", "P", "Pb", "Pb", "Pb", "Pb", "Pb", "Pb", "Cl", "Cl"], "fractional_positions": [[0.166, 0.834, 0.500], [0.834, 0.166, 0.500], [0.500, 0.500, 0.500], [0.000, 0.000, 0.000], [0.776, 0.776, 0.251], [0.083, 0.386, 0.249], [0.917, 0.614, 0.751], [0.224, 0.224, 0.749], [0.386, 0.083, 0.249], [0.614, 0.917, 0.751], [0.666, 0.334, 0.000], [0.334, 0.666, 0.000]]}



# 13
{"formula": "TbPaGaTc", "functional": "PBE", "state": "relaxed", "spacegroup": "F-43m (216)", "e_tot_ev_per_atom": -7.03, "formation_energy_mev_per_atom": -155, "cell": [[-2.468, -4.282, -0.382], [0.713, -3.580, 3.355], [-3.577, -1.098, 3.252]], "species": ["Tc", "Ga", "Pa", "Tb"], "fractional_positions": [[0.250, 0.250, 0.250], [0.750, 0.750, 0.750], [0.500, 0.500, 0.500], [0.000, 0.000, 0.000]]}



# 14
{"formula": "MnGe2Ru2", "functional": "PBE", "state": "relaxed", "spacegroup": "P4/mbm (127)", "e_tot_ev_per_atom": -7.48, "formation_energy_mev_per_atom": -89, "cell": [[-0.813, -1.553, 6.874], [-2.321, -6.474, -1.737], [2.792, -1.027, 0.098]], "species": ["Ru", "Ru", "Ru", "Ru", "Ge", "Ge", "Ge", "Ge", "Mn", "Mn"], "fractional_positions": [[0.356, 0.856, 0.000], [0.144, 0.356, 0.000], [0.856, 0.644, 0.000], [0.644, 0.144, 0.000], [0.845, 0.345, 0.500], [0.155, 0.655, 0.500], [0.345, 0.155, 0.500], [0.655, 0.845, 0.500], [0.500, 0.500, 0.000], [0.000, 0.000, 0.000]]}



# 15
{"formula": "Ho2ThTi", "functional": "PBE", "state": "relaxed", "spacegroup": "R-3m (166)", "e_tot_ev_per_atom": -5.70, "formation_energy_mev_per_atom": 415, "cell": [[-1.897, 1.309, 2.473], [-0.543, -1.768, 2.830], [8.657, 4.566, 6.534]], "species": ["Ho", "Ho", "Ti", "Th"], "fractional_positions": [[0.916, 0.916, 0.253], [0.084, 0.084, 0.747], [0.000, 0.000, 0.000], [0.500, 0.500, 0.500]]}



# 16
{"formula": "PuSn2", "functional": "PBE", "state": "relaxed", "spacegroup": "I4_1/amd (141)", "e_tot_ev_per_atom": -7.82, "formation_energy_mev_per_atom": -373, "cell": [[14.821, 0.013, 0.000], [13.377, 6.380, 0.000], [-14.099, -3.197, 3.264]], "species": ["Pu", "Pu", "Pu", "Pu", "Sn", "Sn", "Sn", "Sn", "Sn", "Sn", "Sn", "Sn"], "fractional_positions": [[0.672, 0.172, 0.500], [0.922, 0.922, 0.000], [0.078, 0.078, 0.000], [0.828, 0.328, 0.500], [0.163, 0.663, 0.500], [0.587, 0.587, 0.000], [0.337, 0.837, 0.500], [0.413, 0.413, 0.000], [0.001, 0.501, 0.500], [0.251, 0.251, 0.000], [0.499, 0.999, 0.500], [0.749, 0.749, 0.000]]}



# 17
{"formula": "AgGeTe2", "functional": "PBE", "state": "relaxed", "spacegroup": "Pmn2_1 (31)", "e_tot_ev_per_atom": -3.45, "raw_formation_energy_mev_per_atom": -13, "cell": [[5.046, 0.000, 0.000], [0.000, 7.150, 0.000], [0.000, 0.000, 7.145]], "species": ["Te", "Te", "Te", "Te", "Ge", "Ge", "Ag", "Ag"], "fractional_positions": [[0.000, 0.837, 0.051], [0.500, 0.337, 0.949], [0.500, 0.794, 0.550], [0.000, 0.294, 0.450], [0.000, 0.898, 0.414], [0.500, 0.398, 0.586], [0.500, 0.950, 0.918], [0.000, 0.450, 0.082]]}



# 18
{"formula": "Tc2AsF", "functional": "PBE", "state": "relaxed", "spacegroup": "I-42d (122)", "e_tot_ev_per_atom": -6.60, "raw_formation_energy_mev_per_atom": 216, "cell": [[6.405, 0.000, 0.000], [0.000, 6.405, 0.000], [3.203, 3.203, 2.801]], "species": ["Tc", "Tc", "Tc", "Tc", "As", "As", "F", "F"], "fractional_positions": [[0.159, 0.625, 0.250], [0.375, 0.409, 0.750], [0.591, 0.125, 0.250], [0.875, 0.841, 0.750], [0.750, 0.250, 0.500], [0.000, 0.000, 0.000], [0.250, 0.750, 0.500], [0.500, 0.500, 0.000]]}



# 19
{"formula": "MgNi4S8", "functional": "PBE", "state": "relaxed", "spacegroup": "R-3m (166)", "e_tot_ev_per_atom": -4.80, "raw_formation_energy_mev_per_atom": -363, "cell": [[7.125, 0.042, 0.029], [3.904, 5.961, 0.029], [3.904, 2.125, 5.570]], "species": ["Ni", "Ni", "Ni", "Ni", "Mg", "S", "S", "S", "S", "S", "S", "S", "S"], "fractional_positions": [[0.000, 0.500, 0.500], [0.500, 0.000, 0.500], [0.000, 0.000, 0.000], [0.500, 0.500, 0.000], [0.500, 0.500, 0.500], [0.762, 0.762, 0.274], [0.733, 0.733, 0.733], [0.267, 0.267, 0.267], [0.274, 0.762, 0.762], [0.238, 0.238, 0.726], [0.762, 0.274, 0.762], [0.238, 0.726, 0.238], [0.726, 0.238, 0.238]]}



# 20
{"formula": "Pr2HfZrN4", "functional": "PBE", "state": "relaxed", "spacegroup": "P2/m (10)", "e_tot_ev_per_atom": -9.21, "raw_formation_energy_mev_per_atom": -1538, "cell": [[-0.219, -3.105, 1.336], [-0.618, -2.371, -5.610], [5.318, -1.273, -2.088]], "species": ["Pr", "Pr", "N", "N", "N", "N", "Hf", "Zr"], "fractional_positions": [[0.000, 0.000, 0.000], [0.500, 0.000, 0.500], [0.000, 0.293, 0.232], [0.500, 0.292, 0.741], [0.500, 0.708, 0.259], [0.000, 0.707, 0.768], [0.500, 0.500, 0.000], [0.000, 0.500, 0.500]]}